A relaxed Al2CoTc crystal, computed with PBE.

Summary:
Total magnetic moment   0.000 μB/atom
Symmetry   Cm
Calculated density   6.55 g/cm3
Formation energy from the elements   -0.348 eV per atom
Offset from the most stable computed form   0.29 eV/f.u.

abc: 4.882 4.882 4.420
angles: 70.11 70.11 32.90
Fractional coordinates of all 4 atoms:
Co: 0.506 0.506 0.567
Al: 0.991 0.991 0.054
Al: 0.768 0.768 0.680
Tc: 0.235 0.235 0.199


A relaxed BeCd2Si crystal, computed with PBE.

Summary:
Total magnetic moment   0.000 μB/atom
Symmetry   Imm2
Calculated density   6.02 g/cm3
Offset from the most stable computed form   0.30 eV/f.u.
Formation energy (no corrections)   359 meV/atom

abc: 6.417 6.417 6.417
angles: 154.90 139.72 48.05
Fractional coordinates of all 4 atoms:
Cd: 0.053 0.053 0.000
Cd: 0.747 0.247 0.500
Si: 0.434 0.434 0.000
Be: 0.266 0.766 0.500


A relaxed LiCd3Cu8 crystal, computed with PBE.

Summary:
Total magnetic moment   0.000 μB/atom
Symmetry   R3m
Calculated density   8.03 g/cm3
Formation energy from the elements   -0.019 eV per atom

abc: 5.007 5.007 8.620
angles: 73.12 73.12 60.00
Fractional coordinates of all 12 atoms:
Cu: 0.938 0.438 0.686
Cu: 0.688 0.688 0.937
Cu: 0.937 0.437 0.189
Cu: 0.437 0.937 0.189
Cu: 0.437 0.437 0.189
Cu: 0.187 0.187 0.438
Cu: 0.938 0.938 0.686
Cu: 0.438 0.938 0.686
Li: 0.874 0.874 0.377
Cd: 0.376 0.376 0.873
Cd: 0.997 0.997 0.008
Cd: 0.503 0.503 0.492


A relaxed LiAlC crystal, computed with PBE.

Summary:
Total magnetic moment   0.000 μB/atom
Symmetry   Cmcm
Calculated density   2.53 g/cm3
Formation energy from the elements   0.462 eV per atom

abc: 3.392 3.392 5.579
angles: 90.00 90.00 110.02
Fractional coordinates of all 6 atoms:
C: 0.232 0.768 0.750
C: 0.768 0.232 0.250
Al: 0.500 0.500 0.500
Al: 0.500 0.500 0.000
Li: 0.875 0.125 0.750
Li: 0.125 0.875 0.250


A relaxed TbInH crystal, computed with PBE.

Summary:
Total magnetic moment   0.000 μB/atom
Symmetry   P-1
Calculated density   7.32 g/cm3
Offset from the most stable computed form   0.53 eV/f.u.

abc: 3.686 4.568 8.259
angles: 100.18 89.67 114.06
Fractional coordinates of all 6 atoms:
H: 0.270 0.038 0.404
H: 0.730 0.962 0.596
In: 0.127 0.758 0.913
In: 0.873 0.242 0.087
Tb: 0.630 0.758 0.333
Tb: 0.370 0.242 0.667


A relaxed CuRhSCl2 crystal, computed with PBE.

Summary:
Total magnetic moment   0.520 μB/atom
Symmetry   P4/mmm
Calculated density   4.52 g/cm3
Offset from the most stable computed form   1.58 eV/f.u.
Formation energy (no corrections)   573 meV/atom

abc: 4.556 4.556 4.771
angles: 90.00 90.00 90.00
Fractional coordinates of all 5 atoms:
Rh: 0.500 0.500 0.500
Cl: 0.000 0.500 0.000
Cl: 0.500 0.000 0.000
Cu: 0.000 0.000 0.000
S: 0.000 0.000 0.500


A relaxed KUMn2S6 crystal, computed with PBE.

Summary:
Total magnetic moment   0.900 μB/atom
Symmetry   C2/c
Calculated density   3.47 g/cm3
Formation energy (no corrections)   -853 meV/atom

abc: 7.416 8.940 8.940
angles: 88.07 75.40 75.40
Fractional coordinates of all 20 atoms:
Mn: 0.120 0.378 0.226
Mn: 0.380 0.774 0.622
Mn: 0.620 0.226 0.378
Mn: 0.880 0.622 0.774
S: 0.114 0.628 0.220
S: 0.614 0.220 0.628
S: 0.211 0.590 0.728
S: 0.210 0.005 0.740
S: 0.290 0.260 0.995
S: 0.711 0.728 0.590
S: 0.886 0.372 0.780
S: 0.790 0.995 0.260
S: 0.289 0.272 0.410
S: 0.386 0.780 0.372
S: 0.710 0.740 0.005
S: 0.789 0.410 0.272
K: 0.250 0.919 0.081
K: 0.750 0.081 0.919
U: 0.250 0.285 0.715
U: 0.750 0.715 0.285


A relaxed Dy2InGa3Pd4 crystal, computed with PBE.

Summary:
Total magnetic moment   0.000 μB/atom
Symmetry   P-4m2
Calculated density   9.25 g/cm3
Formation energy from the elements   -0.744 eV per atom

abc: 4.074 4.074 11.627
angles: 90.00 90.00 90.00
Fractional coordinates of all 10 atoms:
Pd: 0.000 0.000 0.000
Pd: 0.500 0.500 0.000
Pd: 0.500 0.000 0.657
Pd: 0.000 0.500 0.343
Dy: 0.500 0.000 0.243
Dy: 0.000 0.500 0.757
Ga: 0.000 0.000 0.500
Ga: 0.000 0.500 0.130
Ga: 0.500 0.000 0.870
In: 0.500 0.500 0.500


A relaxed KPIr2 crystal, computed with PBE.

Summary:
Total magnetic moment   0.000 μB/atom
Symmetry   P2/m
Calculated density   9.44 g/cm3
Formation energy from the elements   0.287 eV per atom

abc: 3.460 2.897 8.137
angles: 78.71 90.00 90.00
Fractional coordinates of all 4 atoms:
K: 0.500 0.250 0.250
Ir: 0.000 0.926 0.906
Ir: 0.000 0.574 0.594
P: 0.500 0.750 0.750


A relaxed K2MnMo crystal, computed with PBE.

Summary:
Total magnetic moment   2.360 μB/atom
Symmetry   Fm-3m
Calculated density   2.54 g/cm3
Formation energy from the elements   1.746 eV per atom
Offset from the most stable computed form   3.75 eV/f.u.

abc: 5.964 5.964 5.964
angles: 60.00 60.00 60.00
Fractional coordinates of all 4 atoms:
Mo: 0.500 0.500 0.500
K: 0.250 0.250 0.250
K: 0.750 0.750 0.750
Mn: 0.000 0.000 0.000


A relaxed Ta5Tc4Rh crystal, computed with PBE.

Summary:
Total magnetic moment   0.000 μB/atom
Symmetry   P4/mmm
Calculated density   14.33 g/cm3
Formation energy from the elements   -0.458 eV per atom

abc: 3.198 3.198 15.859
angles: 90.00 90.00 90.00
Fractional coordinates of all 10 atoms:
Ta: 0.500 0.500 0.300
Ta: 0.500 0.500 0.500
Ta: 0.500 0.500 0.102
Ta: 0.500 0.500 0.700
Ta: 0.500 0.500 0.898
Tc: 0.000 0.000 0.600
Tc: 0.000 0.000 0.400
Tc: 0.000 0.000 0.198
Tc: 0.000 0.000 0.802
Rh: 0.000 0.000 0.000


A relaxed Sm6GaTe3Se2 crystal, computed with PBE.

Summary:
Total magnetic moment   0.000 μB/atom
Symmetry   C2/m
Calculated density   7.28 g/cm3
Formation energy (no corrections)   -1431 meV/atom

abc: 4.273 8.779 9.763
angles: 104.67 102.64 90.00
Fractional coordinates of all 12 atoms:
Sm: 0.004 0.233 0.008
Sm: 0.672 0.566 0.344
Sm: 0.996 0.767 0.992
Sm: 0.658 0.092 0.316
Sm: 0.342 0.908 0.684
Sm: 0.328 0.434 0.656
Te: 0.831 0.169 0.662
Te: 0.169 0.831 0.338
Te: 0.500 0.500 0.000
Ga: 0.500 0.000 0.000
Se: 0.833 0.668 0.665
Se: 0.167 0.332 0.335


A relaxed Ta2Co crystal, computed with PBE.

Summary:
Total magnetic moment   0.000 μB/atom
Symmetry   I4_1/amd
Calculated density   14.80 g/cm3
Formation energy from the elements   0.068 eV per atom

abc: 3.788 3.788 13.434
angles: 98.11 98.11 90.00
Fractional coordinates of all 12 atoms:
Ta: 0.749 0.749 0.498
Ta: 0.999 0.499 0.998
Ta: 0.414 0.414 0.828
Ta: 0.501 0.001 0.002
Ta: 0.836 0.336 0.672
Ta: 0.586 0.586 0.172
Ta: 0.664 0.164 0.328
Ta: 0.251 0.251 0.502
Co: 0.088 0.088 0.176
Co: 0.912 0.912 0.824
Co: 0.338 0.838 0.676
Co: 0.162 0.662 0.324


A relaxed Ca2ReSe crystal, computed with PBE.

Summary:
Total magnetic moment   0.329 μB/atom
Symmetry   I4/mmm
Calculated density   6.43 g/cm3
Formation energy (no corrections)   281 meV/atom

abc: 5.217 5.217 5.217
angles: 126.27 126.29 79.43
Fractional coordinates of all 4 atoms:
Ca: 0.000 0.000 0.000
Ca: 0.500 0.500 0.000
Se: 0.250 0.750 0.500
Re: 0.750 0.250 0.500


A relaxed SrPr4Pb4 crystal, computed with PBE.

Summary:
Total magnetic moment   0.000 μB/atom
Symmetry   P4_2/n
Calculated density   6.79 g/cm3
Formation energy from the elements   -0.352 eV per atom

abc: 6.480 10.572 10.572
angles: 90.00 90.00 90.00
Fractional coordinates of all 18 atoms:
Pb: 0.409 0.651 0.802
Pb: 0.909 0.698 0.151
Pb: 0.909 0.302 0.849
Pb: 0.091 0.151 0.302
Pb: 0.591 0.802 0.349
Pb: 0.591 0.198 0.651
Pb: 0.409 0.349 0.198
Pb: 0.091 0.849 0.698
Pr: 0.895 0.612 0.856
Pr: 0.395 0.356 0.888
Pr: 0.395 0.644 0.112
Pr: 0.105 0.144 0.612
Pr: 0.605 0.888 0.644
Pr: 0.895 0.388 0.144
Pr: 0.105 0.856 0.388
Pr: 0.605 0.112 0.356
Sr: 0.000 0.000 0.000
Sr: 0.500 0.500 0.500


A relaxed Np2Pt9Rh crystal, computed with PBE.

Summary:
Total magnetic moment   0.410 μB/atom
Symmetry   P4/mmm
Calculated density   18.92 g/cm3
Formation energy from the elements   -0.373 eV per atom

abc: 4.088 4.088 12.246
angles: 90.00 90.00 90.00
Fractional coordinates of all 12 atoms:
Pt: 0.000 0.500 0.840
Pt: 0.500 0.500 0.670
Pt: 0.500 0.500 0.330
Pt: 0.500 0.500 0.000
Pt: 0.500 0.000 0.160
Pt: 0.000 0.500 0.160
Pt: 0.000 0.500 0.500
Pt: 0.500 0.000 0.500
Pt: 0.500 0.000 0.840
Rh: 0.000 0.000 0.000
Np: 0.000 0.000 0.325
Np: 0.000 0.000 0.675


A relaxed Ni3PtSe crystal, computed with PBE.

Summary:
Total magnetic moment   0.156 μB/atom
Symmetry   Pm-3m
Calculated density   9.55 g/cm3
Offset from the most stable computed form   0.00 eV/f.u.
Formation energy (no corrections)   512 meV/atom

abc: 4.278 4.278 4.278
angles: 90.00 90.00 90.00
Fractional coordinates of all 5 atoms:
Ni: 0.500 0.000 0.000
Ni: 0.000 0.500 0.000
Ni: 0.000 0.000 0.500
Se: 0.000 0.000 0.000
Pt: 0.500 0.500 0.500


A relaxed TbIn2Hg3 crystal, computed with PBE.

Summary:
Total magnetic moment   0.000 μB/atom
Symmetry   Cmmm
Calculated density   10.92 g/cm3
Formation energy from the elements   -0.227 eV per atom

abc: 4.242 4.779 7.800
angles: 107.84 90.00 90.00
Fractional coordinates of all 6 atoms:
In: 0.000 0.328 0.656
In: 0.000 0.672 0.344
Hg: 0.500 0.837 0.675
Hg: 0.500 0.163 0.325
Hg: 0.500 0.500 0.000
Tb: 0.000 0.000 0.000


A relaxed La2PmNdHo2 crystal, computed with PBE.

Summary:
Total magnetic moment   0.000 μB/atom
Symmetry   Pmc2_1
Calculated density   7.20 g/cm3
Formation energy from the elements   0.074 eV per atom

abc: 5.745 7.081 10.173
angles: 90.00 90.00 90.00
Fractional coordinates of all 12 atoms:
Nd: 0.500 0.719 0.318
Nd: 0.500 0.219 0.682
Ho: 0.000 0.288 0.855
Ho: 0.500 0.727 0.641
Ho: 0.500 0.227 0.359
Ho: 0.000 0.788 0.145
La: 0.000 0.298 0.187
La: 0.500 0.034 0.016
La: 0.000 0.798 0.813
La: 0.500 0.534 0.984
Pm: 0.000 0.480 0.515
Pm: 0.000 0.980 0.485


A relaxed NdZrNi2 crystal, computed with PBE.

Summary:
Total magnetic moment   0.000 μB/atom
Symmetry   P4/mmm
Calculated density   7.72 g/cm3
Formation energy from the elements   -0.302 eV per atom
Offset from the most stable computed form   0.00 eV/f.u.

abc: 3.314 3.314 6.910
angles: 90.00 90.00 90.00
Fractional coordinates of all 4 atoms:
Zr: 0.500 0.500 0.000
Nd: 0.500 0.500 0.500
Ni: 0.000 0.000 0.198
Ni: 0.000 0.000 0.802


A relaxed NdScGa3 crystal, computed with PBE.

Summary:
Total magnetic moment   0.000 μB/atom
Symmetry   Cmcm
Calculated density   6.08 g/cm3
Formation energy from the elements   -0.634 eV per atom

abc: 4.166 4.149 12.759
angles: 99.36 90.00 90.00
Fractional coordinates of all 10 atoms:
Ga: 0.750 0.625 0.250
Ga: 0.750 0.525 0.051
Ga: 0.250 0.683 0.365
Ga: 0.250 0.475 0.949
Ga: 0.750 0.317 0.635
Ga: 0.250 0.375 0.750
Sc: 0.250 0.795 0.590
Sc: 0.750 0.205 0.410
Nd: 0.250 0.076 0.152
Nd: 0.750 0.924 0.848


A relaxed LiNdTlCu crystal, computed with PBE.

Summary:
Total magnetic moment   0.000 μB/atom
Symmetry   F-43m
Calculated density   8.56 g/cm3
Formation energy from the elements   -0.255 eV per atom

abc: 4.862 4.862 4.862
angles: 60.00 60.00 60.00
Fractional coordinates of all 4 atoms:
Li: 0.750 0.750 0.750
Nd: 0.000 0.000 0.000
Tl: 0.500 0.500 0.500
Cu: 0.250 0.250 0.250


A relaxed CdI2O2 crystal, computed with PBE.

Summary:
Total magnetic moment   0.000 μB/atom
Symmetry   P4/mmm
Calculated density   4.74 g/cm3
Offset from the most stable computed form   0.00 eV/f.u.
Formation energy (no corrections)   -16 meV/atom

abc: 4.165 4.165 8.048
angles: 90.00 90.00 90.00
Fractional coordinates of all 5 atoms:
O: 0.000 0.500 0.000
O: 0.500 0.000 0.000
Cd: 0.500 0.500 0.500
I: 0.000 0.000 0.500
I: 0.000 0.000 0.000


A relaxed InSe crystal, computed with PBE.

Summary:
Total magnetic moment   0.000 μB/atom
Symmetry   P-3m1
Calculated density   5.07 g/cm3
Formation energy (no corrections)   -77 meV/atom

abc: 5.403 5.403 15.073
angles: 90.00 90.00 120.00
Fractional coordinates of all 12 atoms:
In: 0.667 0.333 0.380
In: 0.000 0.000 0.717
In: 0.667 0.333 0.051
In: 0.333 0.667 0.620
In: 0.000 0.000 0.283
In: 0.333 0.667 0.949
Se: 0.667 0.333 0.591
Se: 0.000 0.000 0.080
Se: 0.333 0.667 0.409
Se: 0.000 0.000 0.920
Se: 0.667 0.333 0.751
Se: 0.333 0.667 0.249